# Tm4PuTl7

A relaxed structure of Tm4PuTl7 (PBE-GGA, Alexandria via LeMat-Bulk).

Computed properties:
N(E_F) ... 1.6247 states/eV/atom
E_form ... 0.149 eV per formula unit
VASP energy ... -48.6 eV/cell
Total moment ... 5.928 μB/f.u.

Cell lengths 5.7248, 9.8300, 7.2511 Å; angles 81.31, 66.75, 73.07 degrees
Closest atoms and distances in Å follow each position.
Sites, in units of the cell vectors:
Tl  0.3643  0.5476  0.7237  5 Tm 3.09-3.30, 2 Tl 3.15-3.24
Tm  0.5832  0.2179  0.6156  8 Tl 3.09-3.39
Tm  0.4168  0.7821  0.3844  8 Tl 3.09-3.39
Tl  0.6357  0.4524  0.2763  5 Tm 3.09-3.30, 2 Tl 3.15-3.24
Tl  0.2117  0.1037  0.4730  4 Tm 3.10-3.21, 4 Tl 3.26-3.47
Tl  0.7883  0.8963  0.5270  4 Tm 3.10-3.21, 4 Tl 3.26-3.47
Tm  0.2810  0.3267  0.1113  8 Tl 3.13-3.43, 1 Tm 3.50
Pu  0.0000  0.0000  0.0000  2 Tl 2.86
Tl  0.9198  0.3320  0.8283  4 Tl 3.24-3.56, 5 Tm 3.25-3.43, 1 Pu 3.28
Tl  0.5000  0.0000  0.0000  2 Pu 2.86, 2 Tm 3.19
Tl  0.0802  0.6680  0.1717  4 Tl 3.24-3.56, 5 Tm 3.25-3.43, 1 Pu 3.28
Tm  0.7190  0.6733  0.8887  8 Tl 3.13-3.43, 1 Tm 3.50



# TmPuTl2

A relaxed structure of TmPuTl2 (PBE-GGA, Alexandria via LeMat-Bulk).

Computed properties:
N(E_F) ... 2.8625 states/eV/atom
Relative energy among the computed polymorphs ... 36 meV per atom
E_form ... -0.470 eV per formula unit
VASP energy ... -24.0 eV/cell
Total moment ... 6.286 μB/f.u.

Cell lengths 4.4405, 4.9408, 4.9408 Å; angles 90.00, 90.00, 90.00 degrees
Closest atoms and distances in Å follow each position.
Sites, in units of the cell vectors:
Tm  0.5000  0.0000  0.0000  8 Tl 3.32, 4 Pu 3.49
Tl  0.0000  0.5000  0.0000  4 Tm 3.32, 4 Pu 3.32, 4 Tl 3.49
Pu  0.5000  0.5000  0.5000  8 Tl 3.32, 4 Tm 3.49
Tl  0.0000  0.0000  0.5000  4 Tm 3.32, 4 Pu 3.32, 4 Tl 3.49



# TmPuTl2

A relaxed structure of TmPuTl2 (PBE-GGA, Alexandria via LeMat-Bulk).

Computed properties:
N(E_F) ... 2.0965 states/eV/atom
Relative energy among the computed polymorphs ... 0 meV per atom
E_form ... -0.614 eV per formula unit
VASP energy ... -24.2 eV/cell
Total moment ... 6.117 μB/f.u.

Cell lengths 3.3824, 3.3824, 9.3111 Å; angles 90.00, 90.00, 90.00 degrees
Closest atoms and distances in Å follow each position.
Sites, in units of the cell vectors:
Pu  0.5000  0.5000  0.5000  8 Tl 3.38, 4 Pu 3.38
Tl  0.0000  0.0000  0.7564  4 Tm 3.30, 4 Pu 3.38, 4 Tl 3.38
Tl  0.0000  0.0000  0.2436  4 Tm 3.30, 4 Pu 3.38, 4 Tl 3.38
Tm  0.5000  0.5000  0.0000  8 Tl 3.30, 4 Tm 3.38